Entry 1:
Compound: PrSm2PuO8
Source: Alexandria via LeMat-Bulk
Functional: PBE
Structure: relaxed

Formation energy (no corrections) (eV/atom): -2.997
Total magnetization (μB/atom): 0.083
Volume (Å³ per atom): 14.04

Cell: 4.0485 5.5228 7.5817 Å, 90.04 89.98 96.17°
Last column: nearest neighbours and their distance in Å.
Fractional positions:
Pr 0.0000 0.0000 0.5000  8 O 2.37-2.57
Sm 0.4999 0.4996 0.7438  8 O 2.28-2.53
Sm 0.5001 0.5004 0.2562  8 O 2.28-2.53
Pu 0.0000 0.0000 0.0000  6 O 1.99-2.11
O 0.0450 0.7638 0.2159  1 Pu 2.11
O 0.5742 0.7844 0.0001  1 Pu 1.99
O 0.9545 0.2350 0.2155  1 Pu 2.11
O 0.9550 0.2362 0.7841  1 Pu 2.11
O 0.4258 0.2156 0.9999  1 Pu 1.99
O 0.0455 0.7650 0.7845  1 Pu 2.11
O 0.4914 0.7424 0.5003  2 Sm 2.28-2.29, 1 Pr 2.37
O 0.5086 0.2576 0.4997  2 Sm 2.28-2.29, 1 Pr 2.37



Entry 2:
Compound: Pr2SmPuO8
Source: Alexandria via LeMat-Bulk
Functional: PBE
Structure: relaxed

Formation energy (no corrections) (eV/atom): -2.973
Total magnetization (μB/atom): 0.083
Volume (Å³ per atom): 14.36

Cell: 4.0722 5.5974 7.6071 Å, 90.09 89.97 96.34°
Last column: nearest neighbours and their distance in Å.
Fractional positions:
Pr 0.5000 0.4992 0.7437  8 O 2.32-2.58
Pr 0.5000 0.5008 0.2563  8 O 2.32-2.58
Sm 0.0000 0.0000 0.5000  8 O 2.33-2.60
Pu 0.0000 0.0000 0.0000  6 O 1.97-2.13
O 0.0475 0.7696 0.2181  1 Pu 2.13
O 0.5794 0.7896 0.0002  1 Pu 1.97
O 0.9516 0.2285 0.2171  1 Pu 2.11
O 0.9525 0.2304 0.7819  1 Pu 2.13
O 0.4206 0.2104 0.9998  1 Pu 1.97
O 0.0484 0.7715 0.7829  1 Pu 2.11
O 0.5036 0.7506 0.5007  2 Pr 2.32, 1 Sm 2.33
O 0.4964 0.2494 0.4993  2 Pr 2.32, 1 Sm 2.33



Entry 3:
Compound: SrPrPuO6
Source: Alexandria via LeMat-Bulk
Functional: PBE
Structure: relaxed

Formation energy (no corrections) (eV/atom): -2.798
Total magnetization (μB/atom): 0.111
Volume (Å³ per atom): 17.18

Cell: 6.0057 6.0057 9.8988 Å, 90.00 90.00 120.00°
Last column: nearest neighbours and their distance in Å.
Fractional positions:
Sr 0.0000 0.0000 0.0000  6 O 2.60
Sr 0.0000 0.0000 0.5000  6 O 2.60
Pr 0.3333 0.6667 0.2500  6 O 2.40
Pr 0.6667 0.3333 0.7500  6 O 2.40
Pu 0.6667 0.3333 0.2500  6 O 2.02
Pu 0.3333 0.6667 0.7500  6 O 2.02
O 0.6590 0.6126 0.1399  1 Pu 2.02
O 0.9536 0.3410 0.1399  1 Pu 2.02
O 0.3410 0.9536 0.6399  1 Pu 2.02
O 0.0464 0.6590 0.8601  1 Pu 2.02
O 0.3874 0.3410 0.3601  1 Pu 2.02
O 0.9536 0.6126 0.3601  1 Pu 2.02
O 0.6126 0.9536 0.8601  1 Pu 2.02
O 0.6590 0.0464 0.3601  1 Pu 2.02
O 0.0464 0.3874 0.6399  1 Pu 2.02
O 0.3874 0.0464 0.1399  1 Pu 2.02
O 0.6126 0.6590 0.6399  1 Pu 2.02
O 0.3410 0.3874 0.8601  1 Pu 2.02



Entry 4:
Compound: SrPr2PuO6
Source: Alexandria via LeMat-Bulk
Functional: PBE
Structure: relaxed

Formation energy (no corrections) (eV/atom): -3.099
Total magnetization (μB/atom): 0.400
Volume (Å³ per atom): 17.05

Cell: 6.1255 6.1255 6.3286 Å, 61.05 61.05 60.00°
Last column: nearest neighbours and their distance in Å.
Fractional positions:
Sr 0.8024 0.8024 0.5928  6 O 2.48-2.63
Pr 0.5315 0.5315 0.4054  6 O 2.38-2.53
Pr 0.0243 0.0243 0.9272  6 O 2.36-2.51
Pu 0.3157 0.3157 0.0528  6 O 2.23-2.27
O 0.6019 0.2146 0.2437  1 Pu 2.27, 2 Pr 2.38-2.51
O 0.2146 0.9398 0.2437  1 Pu 2.27, 2 Pr 2.38-2.51
O 0.9398 0.6019 0.2437  1 Pu 2.27, 2 Pr 2.38-2.51
O 0.3994 0.6875 0.7686  1 Pu 2.23, 1 Pr 2.36, 1 Sr 2.48
O 0.6875 0.1445 0.7686  1 Pu 2.23, 1 Pr 2.36, 1 Sr 2.48
O 0.1445 0.3994 0.7686  1 Pu 2.23, 1 Pr 2.36, 1 Sr 2.48